<P>
Compound: Sr3GaSn3
Source: Alexandria via LeMat-Bulk
Functional: PBE-GGA
Structure: optimized geometry

Geometry as CIF:
```
data_Sr3GaSn3
_chemical_formula_sum 'Sr6 Ga2 Sn6'
_symmetry_space_group_name_H-M 'P 1'
_symmetry_Int_Tables_number 1
_cell_length_a 4.9618
_cell_length_b 6.5657
_cell_length_c 15.1005
_cell_angle_alpha 83.06
_cell_angle_beta 80.54
_cell_angle_gamma 67.80
loop_
_symmetry_equiv_pos_as_xyz
'x,y,z'
loop_
_atom_site_label
_atom_site_fract_x
_atom_site_fract_y
_atom_site_fract_z
Sr1 0.5198 0.3431 0.6174
Sr2 0.4802 0.6569 0.3826
Sr3 0.2692 0.2312 0.2303
Sr4 0.7308 0.7688 0.7697
Sr5 0.3953 0.2866 0.9227
Sr6 0.6047 0.7134 0.0773
Ga1 0.7813 0.0467 0.3907
Ga2 0.2187 0.9533 0.6093
Sn1 0.8483 0.7550 0.5484
Sn2 0.1517 0.2450 0.4516
Sn3 0.1110 0.8548 0.9233
Sn4 0.8890 0.1452 0.0767
Sn5 0.9827 0.8037 0.2309
Sn6 0.0173 0.1963 0.7691
```

Calculated values
SG: C2/m



<Q>
Compound: Sr3GaSn3
Source: Alexandria via LeMat-Bulk
Functional: PBE-GGA
Structure: optimized geometry

Geometry as CIF:
```
data_Sr3GaSn3
_chemical_formula_sum 'Sr6 Ga2 Sn6'
_symmetry_space_group_name_H-M 'P 1'
_symmetry_Int_Tables_number 1
_cell_length_a 7.5902
_cell_length_b 7.5902
_cell_length_c 8.6260
_cell_angle_alpha 93.78
_cell_angle_beta 93.78
_cell_angle_gamma 110.98
loop_
_symmetry_equiv_pos_as_xyz
'x,y,z'
loop_
_atom_site_label
_atom_site_fract_x
_atom_site_fract_y
_atom_site_fract_z
Sr1 0.6413 0.6413 0.3456
Sr2 0.1924 0.8076 0.5000
Sr3 0.8076 0.1924 0.5000
Sr4 0.2483 0.7517 0.0000
Sr5 0.7517 0.2483 0.0000
Sr6 0.3587 0.3587 0.6544
Ga1 0.6740 0.6740 0.9714
Ga2 0.3260 0.3260 0.0286
Sn1 0.0054 0.0054 0.2019
Sn2 0.8585 0.5699 0.7248
Sn3 0.5699 0.8585 0.7248
Sn4 0.1415 0.4301 0.2752
Sn5 0.4301 0.1415 0.2752
Sn6 0.9946 0.9946 0.7981
```

Calculated values
SG: C2/m



Most favorable structure: <P>. The second most favorable one is 7.9 kJ/mol of atoms above it.



<P>
Compound: TaGaSn
Source: Alexandria via LeMat-Bulk
Functional: PBE-GGA
Structure: optimized geometry

Geometry as CIF:
```
data_TaGaSn
_chemical_formula_sum 'Ta1 Ga1 Sn1'
_symmetry_space_group_name_H-M 'P 1'
_symmetry_Int_Tables_number 1
_cell_length_a 2.9543
_cell_length_b 4.7893
_cell_length_c 4.7893
_cell_angle_alpha 120.00
_cell_angle_beta 90.00
_cell_angle_gamma 90.00
loop_
_symmetry_equiv_pos_as_xyz
'x,y,z'
loop_
_atom_site_label
_atom_site_fract_x
_atom_site_fract_y
_atom_site_fract_z
Sn1 0.6983 0.6667 0.3333
Ga1 0.0878 0.0000 0.0000
Ta1 0.2139 0.3333 0.6667
```

Calculated values
SG: P3m1



<Q>
Compound: TaGaSn
Source: Alexandria via LeMat-Bulk
Functional: PBE-GGA
Structure: optimized geometry

Geometry as CIF:
```
data_TaGaSn
_chemical_formula_sum 'Ta2 Ga2 Sn2'
_symmetry_space_group_name_H-M 'P 1'
_symmetry_Int_Tables_number 1
_cell_length_a 3.0794
_cell_length_b 7.5314
_cell_length_c 5.8636
_cell_angle_alpha 110.05
_cell_angle_beta 105.22
_cell_angle_gamma 90.00
loop_
_symmetry_equiv_pos_as_xyz
'x,y,z'
loop_
_atom_site_label
_atom_site_fract_x
_atom_site_fract_y
_atom_site_fract_z
Sn1 0.3753 0.1573 0.7506
Sn2 0.6247 0.8427 0.2494
Ga1 0.3540 0.5128 0.7081
Ga2 0.6460 0.4872 0.2919
Ta1 0.8933 0.8282 0.7866
Ta2 0.1067 0.1718 0.2134
```

Calculated values
SG: C2/m



Most favorable structure: <Q>. The second most favorable one is 8.7 kJ/mol of atoms above it.



<P>
Compound: TaGaSn3
Source: Alexandria via LeMat-Bulk
Functional: PBE-GGA
Structure: optimized geometry

Geometry as CIF:
```
data_TaGaSn3
_chemical_formula_sum 'Ta1 Ga1 Sn3'
_symmetry_space_group_name_H-M 'P 1'
_symmetry_Int_Tables_number 1
_cell_length_a 5.1400
_cell_length_b 5.1400
_cell_length_c 5.1400
_cell_angle_alpha 90.00
_cell_angle_beta 90.00
_cell_angle_gamma 90.00
loop_
_symmetry_equiv_pos_as_xyz
'x,y,z'
loop_
_atom_site_label
_atom_site_fract_x
_atom_site_fract_y
_atom_site_fract_z
Sn1 0.0000 0.5000 0.0000
Sn2 0.0000 0.0000 0.5000
Sn3 0.5000 0.0000 0.0000
Ga1 0.0000 0.0000 0.0000
Ta1 0.5000 0.5000 0.5000
```

Calculated values
SG: Pm-3m



<Q>
Compound: TaGaSn3
Source: Alexandria via LeMat-Bulk
Functional: PBE-GGA
Structure: optimized geometry

Geometry as CIF:
```
data_TaGaSn3
_chemical_formula_sum 'Ta1 Ga1 Sn3'
_symmetry_space_group_name_H-M 'P 1'
_symmetry_Int_Tables_number 1
_cell_length_a 5.3982
_cell_length_b 5.3982
_cell_length_c 5.3982
_cell_angle_alpha 90.00
_cell_angle_beta 90.00
_cell_angle_gamma 90.00
loop_
_symmetry_equiv_pos_as_xyz
'x,y,z'
loop_
_atom_site_label
_atom_site_fract_x
_atom_site_fract_y
_atom_site_fract_z
Sn1 0.0000 0.5000 0.0000
Sn2 0.0000 0.0000 0.5000
Sn3 0.5000 0.0000 0.0000
Ga1 0.5000 0.5000 0.5000
Ta1 0.0000 0.0000 0.0000
```

Calculated values
SG: Pm-3m



Most favorable structure: <Q>. The second most favorable one is 77.3 kJ/mol of atoms above it.



<P>
Compound: Ta2Ga2Sn
Source: Alexandria via LeMat-Bulk
Functional: PBE-GGA
Structure: optimized geometry

Geometry as CIF:
```
data_Ta2Ga2Sn
_chemical_formula_sum 'Ta4 Ga4 Sn2'
_symmetry_space_group_name_H-M 'P 1'
_symmetry_Int_Tables_number 1
_cell_length_a 6.9792
_cell_length_b 6.9792
_cell_length_c 3.6518
_cell_angle_alpha 90.00
_cell_angle_beta 90.00
_cell_angle_gamma 90.00
loop_
_symmetry_equiv_pos_as_xyz
'x,y,z'
loop_
_atom_site_label
_atom_site_fract_x
_atom_site_fract_y
_atom_site_fract_z
Sn1 0.0000 0.0000 0.0000
Sn2 0.5000 0.5000 0.0000
Ga1 0.3755 0.8755 0.0000
Ga2 0.8755 0.6245 0.0000
Ga3 0.6245 0.1245 0.0000
Ga4 0.1245 0.3755 0.0000
Ta1 0.1748 0.6748 0.5000
Ta2 0.6748 0.8252 0.5000
Ta3 0.8252 0.3252 0.5000
Ta4 0.3252 0.1748 0.5000
```

Calculated values
SG: P4/mbm



<Q>
Compound: Ta2Ga2Sn
Source: Alexandria via LeMat-Bulk
Functional: PBE-GGA
Structure: optimized geometry

Geometry as CIF:
```
data_Ta2Ga2Sn
_chemical_formula_sum 'Ta4 Ga4 Sn2'
_symmetry_space_group_name_H-M 'P 1'
_symmetry_Int_Tables_number 1
_cell_length_a 7.2476
_cell_length_b 7.2476
_cell_length_c 3.6431
_cell_angle_alpha 90.00
_cell_angle_beta 90.00
_cell_angle_gamma 90.00
loop_
_symmetry_equiv_pos_as_xyz
'x,y,z'
loop_
_atom_site_label
_atom_site_fract_x
_atom_site_fract_y
_atom_site_fract_z
Sn1 0.0000 0.0000 0.0000
Sn2 0.5000 0.5000 0.0000
Ga1 0.1639 0.6639 0.5000
Ga2 0.6639 0.8361 0.5000
Ga3 0.8361 0.3361 0.5000
Ga4 0.3361 0.1639 0.5000
Ta1 0.3671 0.8671 0.0000
Ta2 0.8671 0.6329 0.0000
Ta3 0.6329 0.1329 0.0000
Ta4 0.1329 0.3671 0.0000
```

Calculated values
SG: P4/mbm



Most favorable structure: <Q>. The second most favorable one is 12.8 kJ/mol of atoms above it.



<P>
Compound: TbGaSn2
Source: Alexandria via LeMat-Bulk
Functional: PBE-GGA
Structure: optimized geometry

Geometry as CIF:
```
data_TbGaSn2
_chemical_formula_sum 'Tb1 Ga1 Sn2'
_symmetry_space_group_name_H-M 'P 1'
_symmetry_Int_Tables_number 1
_cell_length_a 4.7281
_cell_length_b 4.5266
_cell_length_c 4.5266
_cell_angle_alpha 90.00
_cell_angle_beta 90.00
_cell_angle_gamma 90.00
loop_
_symmetry_equiv_pos_as_xyz
'x,y,z'
loop_
_atom_site_label
_atom_site_fract_x
_atom_site_fract_y
_atom_site_fract_z
Tb1 0.5000 0.0000 0.0000
Sn1 0.0000 0.0000 0.5000
Sn2 0.0000 0.5000 0.0000
Ga1 0.5000 0.5000 0.5000
```

Calculated values
SG: P4/mmm



<Q>
Compound: TbGaSn2
Source: Alexandria via LeMat-Bulk
Functional: PBE-GGA
Structure: optimized geometry

Geometry as CIF:
```
data_TbGaSn2
_chemical_formula_sum 'Tb1 Ga1 Sn2'
_symmetry_space_group_name_H-M 'P 1'
_symmetry_Int_Tables_number 1
_cell_length_a 4.8824
_cell_length_b 4.8824
_cell_length_c 5.7553
_cell_angle_alpha 64.90
_cell_angle_beta 64.90
_cell_angle_gamma 60.00
loop_
_symmetry_equiv_pos_as_xyz
'x,y,z'
loop_
_atom_site_label
_atom_site_fract_x
_atom_site_fract_y
_atom_site_fract_z
Tb1 0.5000 0.5000 0.5000
Sn1 0.7258 0.7258 0.8225
Sn2 0.2742 0.2742 0.1775
Ga1 0.0000 0.0000 0.0000
```

Calculated values
SG: R-3m



Most favorable structure: <P>. The second most favorable one is 23.9 kJ/mol of atoms above it.



<P>
Compound: TbTmGaSn
Source: Alexandria via LeMat-Bulk
Functional: PBE-GGA
Structure: optimized geometry

Geometry as CIF:
```
data_TbTmGaSn
_chemical_formula_sum 'Tb1 Tm1 Ga1 Sn1'
_symmetry_space_group_name_H-M 'P 1'
_symmetry_Int_Tables_number 1
_cell_length_a 4.4409
_cell_length_b 4.1431
_cell_length_c 5.9730
_cell_angle_alpha 90.00
_cell_angle_beta 111.82
_cell_angle_gamma 90.00
loop_
_symmetry_equiv_pos_as_xyz
'x,y,z'
loop_
_atom_site_label
_atom_site_fract_x
_atom_site_fract_y
_atom_site_fract_z
Tb1 0.1358 0.0000 0.2716
Tm1 0.8577 0.5000 0.7153
Ga1 0.5879 0.5000 0.1758
Sn1 0.4186 0.0000 0.8373
```

Calculated values
SG: Amm2



<Q>
Compound: TbTmGaSn
Source: Alexandria via LeMat-Bulk
Functional: PBE-GGA
Structure: optimized geometry

Geometry as CIF:
```
data_TbTmGaSn
_chemical_formula_sum 'Tb1 Tm1 Ga1 Sn1'
_symmetry_space_group_name_H-M 'P 1'
_symmetry_Int_Tables_number 1
_cell_length_a 5.1965
_cell_length_b 5.1965
_cell_length_c 5.1965
_cell_angle_alpha 60.00
_cell_angle_beta 60.00
_cell_angle_gamma 60.00
loop_
_symmetry_equiv_pos_as_xyz
'x,y,z'
loop_
_atom_site_label
_atom_site_fract_x
_atom_site_fract_y
_atom_site_fract_z
Tm1 0.2500 0.2500 0.2500
Tb1 0.7500 0.7500 0.7500
Sn1 0.5000 0.5000 0.5000
Ga1 0.0000 0.0000 0.0000
```

Calculated values
SG: F-43m



Most favorable structure: <P>. The second most favorable one is 14.9 kJ/mol of atoms above it.